# 1
Entry from the Alexandria database: a relaxed Tb5Er2Sb5 crystal (PBE).

```
data_Tb5Er2Sb5
_chemical_formula_sum 'Tb5 Er2 Sb5'
_symmetry_space_group_name_H-M 'P 1'
_symmetry_Int_Tables_number 1
_symmetry_space_group_name_Hall 'P 1'
_cell_length_a 7.454
_cell_length_b 7.454
_cell_length_c 12.550
_cell_angle_alpha 109.32
_cell_angle_beta 109.32
_cell_angle_gamma 33.96
loop_
_atom_site_label
_atom_site_fract_x
_atom_site_fract_y
_atom_site_fract_z
_atom_site_occupancy
Tb1 0.000 0.000 0.000 1
Tb2 0.160 0.160 0.535 1
Tb3 0.222 0.222 0.844 1
Tb4 0.778 0.778 0.156 1
Tb5 0.840 0.840 0.465 1
Er1 0.453 0.453 0.712 1
Er2 0.547 0.547 0.288 1
Sb1 0.195 0.195 0.289 1
Sb2 0.383 0.383 0.071 1
Sb3 0.500 0.500 0.500 1
Sb4 0.617 0.617 0.929 1
Sb5 0.805 0.805 0.711 1
```

Output
- total magnetic moment (μB/f.u.) = 0.00
- theoretical density (g/cm³) = 7.90
- crystal system = monoclinic
- ΔE_f (raw) (eV per atom) = -0.85
- SG = No. 12



# 2
Entry from the Alexandria database: a relaxed TbEr2Sb2 crystal (PBE).

```
data_TbEr2Sb2
_chemical_formula_sum 'Tb1 Er2 Sb2'
_symmetry_space_group_name_H-M 'P 1'
_symmetry_Int_Tables_number 1
_symmetry_space_group_name_Hall 'P 1'
_cell_length_a 4.705
_cell_length_b 4.705
_cell_length_c 7.131
_cell_angle_alpha 102.67
_cell_angle_beta 102.67
_cell_angle_gamma 80.50
loop_
_atom_site_label
_atom_site_fract_x
_atom_site_fract_y
_atom_site_fract_z
_atom_site_occupancy
Tb1 0.000 0.000 0.000 1
Er1 0.250 0.750 0.500 1
Er2 0.750 0.250 0.500 1
Sb1 0.331 0.331 0.790 1
Sb2 0.669 0.669 0.210 1
```

Output
- total magnetic moment (μB/f.u.) = 0.00
- theoretical density (g/cm³) = 8.20
- crystal system = monoclinic
- ΔE_f (raw) (eV per atom) = -0.59
- SG = No. 12



# 3
Entry from the Alexandria database: a relaxed TbEr5Sb4 crystal (PBE).

```
data_TbEr5Sb4
_chemical_formula_sum 'Tb1 Er5 Sb4'
_symmetry_space_group_name_H-M 'P 1'
_symmetry_Int_Tables_number 1
_symmetry_space_group_name_Hall 'P 1'
_cell_length_a 9.504
_cell_length_b 9.504
_cell_length_c 8.355
_cell_angle_alpha 105.69
_cell_angle_beta 105.69
_cell_angle_gamma 26.04
loop_
_atom_site_label
_atom_site_fract_x
_atom_site_fract_y
_atom_site_fract_z
_atom_site_occupancy
Tb1 0.000 0.000 0.000 1
Er1 0.000 0.000 0.500 1
Er2 0.320 0.320 0.650 1
Er3 0.338 0.338 0.181 1
Er4 0.662 0.662 0.819 1
Er5 0.680 0.680 0.350 1
Sb1 0.171 0.171 0.086 1
Sb2 0.490 0.490 0.739 1
Sb3 0.510 0.510 0.261 1
Sb4 0.829 0.829 0.914 1
```

Output
- total magnetic moment (μB/f.u.) = 0.00
- theoretical density (g/cm³) = 7.73
- crystal system = monoclinic
- ΔE_f (raw) (eV per atom) = -0.69
- SG = No. 12



# 4
Entry from the Alexandria database: a relaxed Tb2ErSb2 crystal (PBE).

```
data_Tb2ErSb2
_chemical_formula_sum 'Tb4 Er2 Sb4'
_symmetry_space_group_name_H-M 'P 1'
_symmetry_Int_Tables_number 1
_symmetry_space_group_name_Hall 'P 1'
_cell_length_a 7.824
_cell_length_b 7.824
_cell_length_c 7.824
_cell_angle_alpha 114.91
_cell_angle_beta 84.13
_cell_angle_gamma 132.92
loop_
_atom_site_label
_atom_site_fract_x
_atom_site_fract_y
_atom_site_fract_z
_atom_site_occupancy
Tb1 0.153 0.145 0.298 1
Tb2 0.347 0.645 0.992 1
Tb3 0.653 0.355 0.008 1
Tb4 0.847 0.855 0.702 1
Er1 0.250 0.750 0.500 1
Er2 0.750 0.250 0.500 1
Sb1 0.108 0.785 0.893 1
Sb2 0.392 0.285 0.677 1
Sb3 0.608 0.715 0.323 1
Sb4 0.892 0.215 0.107 1
```

Output
- total magnetic moment (μB/f.u.) = 0.00
- theoretical density (g/cm³) = 7.92
- crystal system = orthorhombic
- ΔE_f (raw) (eV per atom) = -0.80
- SG = No. 72



# 5
Entry from the Alexandria database: a relaxed Tb3ErSb3 crystal (PBE).

```
data_Tb3ErSb3
_chemical_formula_sum 'Tb12 Er4 Sb12'
_symmetry_space_group_name_H-M 'P 1'
_symmetry_Int_Tables_number 1
_symmetry_space_group_name_Hall 'P 1'
_cell_length_a 9.205
_cell_length_b 9.205
_cell_length_c 9.205
_cell_angle_alpha 90.00
_cell_angle_beta 90.00
_cell_angle_gamma 90.00
loop_
_atom_site_label
_atom_site_fract_x
_atom_site_fract_y
_atom_site_fract_z
_atom_site_occupancy
Tb1 0.071 0.429 0.571 1
Tb2 0.177 0.823 0.323 1
Tb3 0.178 0.178 0.178 1
Tb4 0.322 0.822 0.678 1
Tb5 0.323 0.177 0.823 1
Tb6 0.429 0.571 0.071 1
Tb7 0.571 0.071 0.429 1
Tb8 0.677 0.677 0.677 1
Tb9 0.678 0.322 0.822 1
Tb10 0.822 0.678 0.322 1
Tb11 0.823 0.323 0.177 1
Tb12 0.929 0.929 0.929 1
Er1 0.073 0.573 0.927 1
Er2 0.427 0.427 0.427 1
Er3 0.573 0.927 0.073 1
Er4 0.927 0.073 0.573 1
Sb1 0.001 0.252 0.874 1
Sb2 0.126 0.501 0.248 1
Sb3 0.248 0.126 0.501 1
Sb4 0.252 0.874 0.001 1
Sb5 0.374 0.499 0.748 1
Sb6 0.499 0.748 0.374 1
Sb7 0.501 0.248 0.126 1
Sb8 0.626 0.999 0.752 1
Sb9 0.748 0.374 0.499 1
Sb10 0.752 0.626 0.999 1
Sb11 0.874 0.001 0.252 1
Sb12 0.999 0.752 0.626 1
```

Output
- total magnetic moment (μB/f.u.) = 0.00
- theoretical density (g/cm³) = 8.60
- distance to the lowest polymorph of the same formula (meV/atom) = 0.0
- crystal system = cubic
- ΔE_f (raw) (eV per atom) = -1.00
- SG = No. 198



# 6
Entry from the Alexandria database: a relaxed Tb3ErSb3 crystal (PBE).

```
data_Tb3ErSb3
_chemical_formula_sum 'Tb6 Er2 Sb6'
_symmetry_space_group_name_H-M 'P 1'
_symmetry_Int_Tables_number 1
_symmetry_space_group_name_Hall 'P 1'
_cell_length_a 8.037
_cell_length_b 8.037
_cell_length_c 8.037
_cell_angle_alpha 67.71
_cell_angle_beta 67.71
_cell_angle_gamma 67.71
loop_
_atom_site_label
_atom_site_fract_x
_atom_site_fract_y
_atom_site_fract_z
_atom_site_occupancy
Tb1 0.088 0.823 0.344 1
Tb2 0.177 0.656 0.912 1
Tb3 0.344 0.088 0.823 1
Tb4 0.656 0.912 0.177 1
Tb5 0.823 0.344 0.088 1
Tb6 0.912 0.177 0.656 1
Er1 0.333 0.333 0.333 1
Er2 0.667 0.667 0.667 1
Sb1 0.077 0.471 0.695 1
Sb2 0.305 0.923 0.529 1
Sb3 0.471 0.695 0.077 1
Sb4 0.529 0.305 0.923 1
Sb5 0.695 0.077 0.471 1
Sb6 0.923 0.529 0.305 1
```

Output
- total magnetic moment (μB/f.u.) = 0.00
- theoretical density (g/cm³) = 7.84
- distance to the lowest polymorph of the same formula (meV/atom) = 91.5
- crystal system = trigonal
- ΔE_f (raw) (eV per atom) = -0.90
- SG = No. 148



# 7
Entry from the Alexandria database: a relaxed Tb3Er4Sb4 crystal (PBE).

```
data_Tb3Er4Sb4
_chemical_formula_sum 'Tb3 Er4 Sb4'
_symmetry_space_group_name_H-M 'P 1'
_symmetry_Int_Tables_number 1
_symmetry_space_group_name_Hall 'P 1'
_cell_length_a 9.872
_cell_length_b 9.872
_cell_length_c 9.872
_cell_angle_alpha 156.25
_cell_angle_beta 124.85
_cell_angle_gamma 60.87
loop_
_atom_site_label
_atom_site_fract_x
_atom_site_fract_y
_atom_site_fract_z
_atom_site_occupancy
Tb1 0.000 0.000 0.000 1
Tb2 0.398 0.898 0.500 1
Tb3 0.602 0.102 0.500 1
Er1 0.017 0.331 0.686 1
Er2 0.355 0.669 0.686 1
Er3 0.645 0.331 0.314 1
Er4 0.983 0.669 0.314 1
Sb1 0.261 0.261 0.000 1
Sb2 0.293 0.500 0.793 1
Sb3 0.707 0.500 0.207 1
Sb4 0.739 0.739 0.000 1
```

Output
- total magnetic moment (μB/f.u.) = 0.00
- theoretical density (g/cm³) = 8.58
- crystal system = orthorhombic
- ΔE_f (raw) (eV per atom) = -0.75
- SG = No. 71



# 8
Entry from the Alexandria database: a relaxed TbErSb crystal (PBE).

```
data_TbErSb
_chemical_formula_sum 'Tb4 Er4 Sb4'
_symmetry_space_group_name_H-M 'P 1'
_symmetry_Int_Tables_number 1
_symmetry_space_group_name_Hall 'P 1'
_cell_length_a 8.403
_cell_length_b 8.403
_cell_length_c 10.583
_cell_angle_alpha 91.07
_cell_angle_beta 91.07
_cell_angle_gamma 29.32
loop_
_atom_site_label
_atom_site_fract_x
_atom_site_fract_y
_atom_site_fract_z
_atom_site_occupancy
Tb1 0.034 0.034 0.357 1
Tb2 0.401 0.401 0.146 1
Tb3 0.599 0.599 0.854 1
Tb4 0.966 0.966 0.643 1
Er1 0.194 0.194 0.078 1
Er2 0.241 0.241 0.663 1
Er3 0.759 0.759 0.337 1
Er4 0.806 0.806 0.922 1
Sb1 0.384 0.384 0.448 1
Sb2 0.414 0.414 0.831 1
Sb3 0.586 0.586 0.169 1
Sb4 0.616 0.616 0.552 1
```

Output
- total magnetic moment (μB/f.u.) = 0.21
- theoretical density (g/cm³) = 8.13
- crystal system = monoclinic
- ΔE_f (raw) (eV per atom) = -0.59
- SG = No. 12